The following is a PBE+U calculation of a relaxed LiWF2 crystal, from the Alexandria database.

a = 6.664 Å, b = 6.664 Å, c = 6.664 Å
α = 24.58°, β = 24.58°, γ = 24.58°
Atoms (fractional coordinates):
Li1 0.500 0.500 0.500
W1 0.000 0.000 0.000
F1 0.891 0.891 0.891
F2 0.109 0.109 0.109

Computed properties:
Total energy in eV per cell: -19.688